Entry 1
5
Lattice="4.795 0.000 0.000 0.000 4.795 0.000 0.000 0.000 4.795" Properties=species:S:1:pos:R:3 comment="HfBiRu3, optimized geometry, DFT PBE-GGA" n_ef_per_ev_fu=7.36 space_group=Pm-3m pbc="T T T"
Hf 0.000 0.000 0.000
Bi 2.397 2.397 2.397
Ru 0.000 0.000 2.397
Ru 0.000 2.397 0.000
Ru 2.397 0.000 0.000

***

Entry 2
5
Lattice="4.839 0.000 0.000 0.000 4.839 0.000 0.000 0.000 4.839" Properties=species:S:1:pos:R:3 comment="HfBiRu3, optimized geometry, DFT PBE-GGA" n_ef_per_ev_fu=1.99 space_group=Pm-3m pbc="T T T"
Hf 0.000 0.000 0.000
Bi 2.420 2.420 2.420
Ru 0.000 2.420 2.420
Ru 2.420 0.000 2.420
Ru 2.420 2.420 0.000

***

Stability summary - winner: entry 1; margin: 319 meV per atom.

***

Entry 1
5
Lattice="5.244 0.000 0.000 0.000 5.244 0.000 0.000 0.000 5.244" Properties=species:S:1:pos:R:3 comment="Hf3BiRu, optimized geometry, DFT PBE-GGA" n_ef_per_ev_fu=5.01 space_group=Pm-3m pbc="T T T"
Hf 0.000 0.000 2.622
Hf 0.000 2.622 0.000
Hf 2.622 0.000 0.000
Bi 0.000 0.000 0.000
Ru 2.622 2.622 2.622

***

Entry 2
5
Lattice="5.002 0.000 0.000 0.000 5.002 0.000 0.000 0.000 5.002" Properties=species:S:1:pos:R:3 comment="Hf3BiRu, optimized geometry, DFT PBE-GGA" n_ef_per_ev_fu=4.29 space_group=Pm-3m pbc="T T T"
Hf 0.000 0.000 2.501
Hf 0.000 2.501 0.000
Hf 2.501 0.000 0.000
Bi 2.501 2.501 2.501
Ru 0.000 0.000 0.000

***

Stability summary - winner: entry 2; margin: 1720 meV per atom.

***

Entry 1
10
Lattice="7.253 0.000 0.000 0.000 7.253 0.000 0.000 0.000 4.464" Properties=species:S:1:pos:R:3 comment="Hf2Bi2S, optimized geometry, DFT PBE-GGA" n_ef_per_ev_fu=0.88 space_group=P4/mbm pbc="T T T"
Hf 1.129 2.497 0.000
Hf 2.497 6.124 0.000
Hf 4.756 1.129 0.000
Hf 6.124 4.756 0.000
Bi 1.096 4.723 2.232
Bi 2.530 1.096 2.232
Bi 4.723 6.157 2.232
Bi 6.157 2.530 2.232
S 0.000 0.000 0.000
S 3.626 3.626 0.000

***

Entry 2
10
Lattice="8.237 0.000 0.000 0.000 8.237 0.000 0.000 0.000 3.744" Properties=species:S:1:pos:R:3 comment="Hf2Bi2S, optimized geometry, DFT PBE-GGA" n_ef_per_ev_fu=2.95 space_group=P4/mbm pbc="T T T"
Hf 1.080 3.039 0.000
Hf 3.039 7.157 0.000
Hf 5.198 1.080 0.000
Hf 7.157 5.198 0.000
Bi 1.343 5.461 1.872
Bi 2.776 1.343 1.872
Bi 5.461 6.894 1.872
Bi 6.894 2.776 1.872
S 0.000 0.000 1.872
S 4.118 4.118 1.872

***

Stability summary - winner: entry 1; margin: 549 meV per atom.

***

Entry 1
5
Lattice="4.830 0.000 0.000 0.000 4.830 0.000 0.000 0.000 4.830" Properties=species:S:1:pos:R:3 comment="Hf3BiS, optimized geometry, DFT PBE-GGA" n_ef_per_ev_fu=4.30 space_group=Pm-3m pbc="T T T"
Hf 0.000 0.000 2.415
Hf 0.000 2.415 0.000
Hf 2.415 0.000 0.000
Bi 2.415 2.415 2.415
S 0.000 0.000 0.000

***

Entry 2
10
Lattice="4.577 -6.123 0.000 4.577 6.123 0.000 0.000 0.000 3.943" Properties=species:S:1:pos:R:3 comment="Hf3BiS, optimized geometry, DFT PBE-GGA" n_ef_per_ev_fu=3.23 space_group=Cmmm pbc="T T T"
Hf 2.849 1.639 1.971
Hf 4.577 3.781 0.000
Hf 2.849 -1.639 1.971
Hf 6.305 1.639 1.971
Hf 4.577 -3.781 0.000
Hf 6.305 -1.639 1.971
Bi 0.000 0.000 1.971
Bi 4.577 0.000 0.000
S 2.288 3.061 0.000
S 2.288 -3.061 0.000

***

Entry 3
5
Lattice="5.383 0.000 0.000 0.000 5.383 0.000 0.000 0.000 5.383" Properties=species:S:1:pos:R:3 comment="Hf3BiS, optimized geometry, DFT PBE-GGA" n_ef_per_ev_fu=8.78 space_group=Pm-3m pbc="T T T"
Hf 0.000 0.000 2.692
Hf 0.000 2.692 0.000
Hf 2.692 0.000 0.000
Bi 0.000 0.000 0.000
S 2.692 2.692 2.692

***

Stability summary - winner: entry 2; margin: 266 meV per atom.

***

Entry 1
5
Lattice="5.431 0.000 0.000 0.000 5.431 0.000 0.000 0.000 4.379" Properties=species:S:1:pos:R:3 comment="HfTiBi2S, optimized geometry, DFT PBE-GGA" n_ef_per_ev_fu=6.39 space_group=P4/mmm pbc="T T T"
Hf 0.000 0.000 0.000
Ti 2.715 2.715 0.000
Bi 0.000 2.715 2.189
Bi 2.715 0.000 2.189
S 2.715 2.715 2.189

***

Entry 2
5
Lattice="5.719 0.000 0.000 0.000 5.719 0.000 0.000 0.000 4.707" Properties=species:S:1:pos:R:3 comment="HfTiBi2S, optimized geometry, DFT PBE-GGA" n_ef_per_ev_fu=7.75 space_group=P4/mmm pbc="T T T"
Hf 0.000 0.000 0.000
Ti 2.859 2.859 2.354
Bi 0.000 2.859 0.000
Bi 2.859 0.000 0.000
S 0.000 0.000 2.354

***

Stability summary - winner: entry 1; margin: 85 meV per atom.

***

Entry 1
5
Lattice="5.627 0.000 0.000 0.000 5.627 0.000 0.000 0.000 5.627" Properties=species:S:1:pos:R:3 comment="HfBi3Sb, optimized geometry, DFT PBE-GGA" n_ef_per_ev_fu=4.97 space_group=Pm-3m pbc="T T T"
Hf 0.000 0.000 0.000
Bi 0.000 0.000 2.813
Bi 0.000 2.813 0.000
Bi 2.813 0.000 0.000
Sb 2.813 2.813 2.813

***

Entry 2
5
Lattice="5.709 0.000 0.000 0.000 5.709 0.000 0.000 0.000 5.709" Properties=species:S:1:pos:R:3 comment="HfBi3Sb, optimized geometry, DFT PBE-GGA" n_ef_per_ev_fu=3.63 space_group=Pm-3m pbc="T T T"
Hf 0.000 0.000 0.000
Bi 0.000 2.854 2.854
Bi 2.854 0.000 2.854
Bi 2.854 2.854 0.000
Sb 2.854 2.854 2.854

***

Stability summary - winner: entry 1; margin: 636 meV per atom.

***

Entry 1
3
Lattice="5.211 0.000 0.000 -2.606 4.513 0.000 0.000 0.000 3.264" Properties=species:S:1:pos:R:3 comment="HfBiSb, optimized geometry, DFT PBE-GGA" n_ef_per_ev_fu=2.41 space_group=P-6m2 pbc="T T T"
Hf 0.000 0.000 0.000
Bi 2.606 1.504 1.632
Sb 0.000 3.009 0.000

***

Entry 2
12
Lattice="7.908 0.000 0.000 0.000 5.752 0.000 -1.822 0.000 6.921" Properties=species:S:1:pos:R:3 comment="HfBiSb, optimized geometry, DFT PBE-GGA" n_ef_per_ev_fu=1.29 space_group=P2_1/c pbc="T T T"
Hf 1.350 0.760 0.214
Hf 0.439 2.116 3.674
Hf 5.647 3.635 3.247
Hf 4.737 4.992 6.708
Bi 2.818 2.917 1.835
Bi 1.908 5.710 5.295
Bi 4.179 0.041 1.626
Bi 3.268 2.835 5.086
Sb -0.682 3.619 5.925
Sb 0.228 5.009 2.464
Sb 5.858 0.743 4.457
Sb 6.769 2.133 0.996

***

Entry 3
6
Lattice="5.724 0.000 0.000 0.000 5.362 0.000 -1.298 0.000 5.827" Properties=species:S:1:pos:R:3 comment="HfBiSb, optimized geometry, DFT PBE-GGA" n_ef_per_ev_fu=1.57 space_group=P2_1/m pbc="T T T"
Hf 0.205 1.341 2.457
Hf 4.221 4.022 3.370
Bi -0.411 1.341 5.380
Bi 4.837 4.022 0.447
Sb 1.318 4.022 3.458
Sb 3.108 1.341 2.369

***

Stability summary - winner: entry 2; margin: 136 meV per atom.

***

Entry 1
4
Lattice="0.000 3.680 3.680 3.680 0.000 3.680 3.680 3.680 0.000" Properties=species:S:1:pos:R:3 comment="HfScBi2, optimized geometry, DFT PBE-GGA" n_ef_per_ev_fu=4.79 space_group=Fm-3m pbc="T T T"
Hf 0.000 0.000 0.000
Sc 3.680 3.680 3.680
Bi 1.840 1.840 1.840
Bi 5.520 5.520 5.520

***

Entry 2
4
Lattice="2.072 1.196 7.271 -2.072 1.196 7.271 0.000 -2.393 7.271" Properties=species:S:1:pos:R:3 comment="HfScBi2, optimized geometry, DFT PBE-GGA" n_ef_per_ev_fu=3.68 space_group=R3m pbc="T T T"
Hf 0.000 0.000 0.000
Sc 0.000 0.000 18.101
Bi 0.000 0.000 5.417
Bi 0.000 0.000 9.097

***

Stability summary - winner: entry 2; margin: 123 meV per atom.

***

Entry 1
4
Lattice="1.707 0.986 10.935 -1.707 0.986 10.935 0.000 -1.971 10.935" Properties=species:S:1:pos:R:3 comment="HfScBi2, optimized geometry, DFT PBE-GGA" n_ef_per_ev_fu=3.87 space_group=R-3m pbc="T T T"
Hf 0.000 0.000 0.000
Sc 0.000 0.000 16.402
Bi 0.000 0.000 13.360
Bi 0.000 0.000 19.443

***

Entry 2
8
Lattice="-3.359 3.359 6.627 3.359 -3.359 6.627 3.359 3.359 -6.627" Properties=species:S:1:pos:R:3 comment="HfScBi2, optimized geometry, DFT PBE-GGA" n_ef_per_ev_fu=3.71 space_group=I-42d pbc="T T T"
Hf 0.000 0.000 0.000
Hf 0.000 3.359 3.313
Sc 3.359 0.000 3.313
Sc 0.000 0.000 6.627
Bi 5.038 1.637 -1.657
Bi 1.637 1.679 1.657
Bi -1.679 1.722 4.970
Bi 1.722 1.679 8.284

***

Stability summary - winner: entry 1; margin: 145 meV per atom.

***

Entry 1
5
Lattice="5.089 0.000 0.000 0.000 5.089 0.000 0.000 0.000 5.089" Properties=species:S:1:pos:R:3 comment="Hf3ScBi, optimized geometry, DFT PBE-GGA" n_ef_per_ev_fu=8.52 space_group=Pm-3m pbc="T T T"
Hf 0.000 0.000 2.545
Hf 0.000 2.545 0.000
Hf 2.545 0.000 0.000
Sc 0.000 0.000 0.000
Bi 2.545 2.545 2.545

***

Entry 2
5
Lattice="5.346 0.000 0.000 0.000 5.346 0.000 0.000 0.000 5.346" Properties=species:S:1:pos:R:3 comment="Hf3ScBi, optimized geometry, DFT PBE-GGA" n_ef_per_ev_fu=7.42 space_group=Pm-3m pbc="T T T"
Hf 0.000 0.000 2.673
Hf 0.000 2.673 0.000
Hf 2.673 0.000 0.000
Sc 2.673 2.673 2.673
Bi 0.000 0.000 0.000

***

Stability summary - winner: entry 1; margin: 13 meV per atom.

***

Entry 1
5
Lattice="5.177 0.000 0.000 0.000 5.177 0.000 0.000 0.000 5.177" Properties=species:S:1:pos:R:3 comment="HfSi3Bi, optimized geometry, DFT PBE-GGA" n_ef_per_ev_fu=6.88 space_group=Pm-3m pbc="T T T"
Hf 0.000 0.000 0.000
Si 0.000 2.589 2.589
Si 2.589 0.000 2.589
Si 2.589 2.589 0.000
Bi 2.589 2.589 2.589

***

Entry 2
5
Lattice="5.089 0.000 0.000 0.000 5.089 0.000 0.000 0.000 5.089" Properties=species:S:1:pos:R:3 comment="HfSi3Bi, optimized geometry, DFT PBE-GGA" n_ef_per_ev_fu=3.13 space_group=Pm-3m pbc="T T T"
Hf 0.000 0.000 0.000
Si 0.000 0.000 2.545
Si 0.000 2.545 0.000
Si 2.545 0.000 0.000
Bi 2.545 2.545 2.545

***

Stability summary - winner: entry 2; margin: 965 meV per atom.

***

Entry 1
5
Lattice="4.943 0.000 0.000 0.000 4.943 0.000 0.000 0.000 4.943" Properties=species:S:1:pos:R:3 comment="Hf3SiBi, optimized geometry, DFT PBE-GGA" n_ef_per_ev_fu=4.50 space_group=Pm-3m pbc="T T T"
Hf 0.000 0.000 2.472
Hf 0.000 2.472 0.000
Hf 2.472 0.000 0.000
Si 0.000 0.000 0.000
Bi 2.472 2.472 2.472

***

Entry 2
5
Lattice="5.312 0.000 0.000 0.000 5.312 0.000 0.000 0.000 5.312" Properties=species:S:1:pos:R:3 comment="Hf3SiBi, optimized geometry, DFT PBE-GGA" n_ef_per_ev_fu=6.18 space_group=Pm-3m pbc="T T T"
Hf 0.000 0.000 2.656
Hf 0.000 2.656 0.000
Hf 2.656 0.000 0.000
Si 2.656 2.656 2.656
Bi 0.000 0.000 0.000

***

Stability summary - winner: entry 1; margin: 1405 meV per atom.